DFT (PBE-GGA) results for CuAsP2 after structural relaxation.

## Properties
The formation energy is 0.320 eV per atom. The space group is No. 44. For the volume, the calculation gives 16.049 Å³/atom. The uncorrected energy comes out at -4.57 eV per atom.

a = 3.253 Å, b = 3.650 Å, c = 10.816 Å
α = 90.00°, β = 90.00°, γ = 90.00°
Atoms (fractional coordinates):
Cu 0.000 0.000 0.000
Cu 0.500 0.500 0.500
As 0.000 0.500 0.827
As 0.500 0.000 0.327
P 0.000 0.000 0.539
P 0.000 0.500 0.191
P 0.500 0.000 0.691
P 0.500 0.500 0.039